{
  "formula": "Y4Tl3Hg2",
  "functional": "PBE",
  "state": "optimized geometry",
  "cell": [[-4.7010, 2.0329, 0.6285], [-3.2465, 0.2736, -4.0016], [-3.8180, -9.5913, 2.4450]],
  "species": ["Y", "Y", "Y", "Y", "Tl", "Tl", "Tl", "Hg", "Hg"],
  "fractional_positions": [[0.6667, 0.6667, 0.1129], [0.0001, 0.0001, 0.6719], [0.9999, 0.9999, 0.3281], [0.3333, 0.3333, 0.8871], [0.3334, 0.3334, 0.5575], [0.0000, 0.0000, 0.0000], [0.6666, 0.6666, 0.4425], [0.3334, 0.3334, 0.2017], [0.6666, 0.6666, 0.7983]],
  "ef_ev_per_atom": -0.35,
  "mass_density_g_cm3": 9.3,
  "dos_at_fermi_per_ev_atom": 0.890
}